No. 1
Compound: Pr8Tm6Mg
Source: Alexandria via LeMat-Bulk
Functional: PBE-GGA
Structure: relaxed

Summary:
- Crystal system: trigonal
- Volume: 497 Å³ per cell
- Energy of formation from the pure elements: 0.1394 eV per atom

The structure in POSCAR format:
```
Pr8Tm6Mg
1.0
-1.693 3.479 -5.272
-6.876 -6.103 -1.819
-1.661 7.445 5.446
Pr Tm Mg
8 6 1
Direct
0.825 0.041 0.280
0.825 0.720 0.761
0.825 0.239 0.959
0.175 0.959 0.720
0.175 0.280 0.239
0.175 0.761 0.041
0.863 0.333 0.667
0.137 0.667 0.333
0.661 0.653 0.098
0.661 0.902 0.555
0.661 0.445 0.347
0.339 0.347 0.902
0.339 0.098 0.445
0.339 0.555 0.653
0.500 0.000 0.000
```

No. 2
Compound: CoC3
Source: Alexandria via LeMat-Bulk
Functional: PBE-GGA
Structure: relaxed

Summary:
- Crystal system: hexagonal
- Volume: 116 Å³ per cell
- Energy of formation from the pure elements: 1.8426 eV per atom

The structure in POSCAR format:
```
CoC3
1.0
1.602 1.302 -3.339
-1.958 -3.402 0.042
-7.394 4.233 -1.897
Co C
2 6
Direct
0.333 0.667 0.250
0.667 0.333 0.750
0.789 0.578 0.250
0.422 0.211 0.250
0.789 0.211 0.250
0.211 0.422 0.750
0.578 0.789 0.750
0.211 0.789 0.750
```

No. 3
Compound: Ni2MoAu
Source: Alexandria via LeMat-Bulk
Functional: PBE-GGA
Structure: relaxed

Summary:
- Crystal system: orthorhombic
- Volume: 55 Å³ per cell
- Energy of formation from the pure elements: 0.1868 eV per atom

The structure in POSCAR format:
```
Ni2MoAu
1.0
5.198 0.094 0.172
2.510 4.553 -0.172
-3.354 -3.154 2.422
Au Mo Ni
1 1 2
Direct
0.511 0.511 0.000
0.229 0.729 0.500
0.991 0.991 0.000
0.768 0.268 0.500
```

No. 4
Compound: ZrRe2BiH
Source: Alexandria via LeMat-Bulk
Functional: PBE-GGA
Structure: relaxed

Summary:
- Crystal system: tetragonal
- Volume: 139 Å³ per cell
- E_tot: -5.599 eV/atom

The structure in POSCAR format:
```
ZrRe2BiH
1.0
4.947 0.000 0.000
0.000 5.696 0.000
0.000 0.000 4.947
Re Bi Zr H
2 1 1 1
Direct
0.000 0.000 0.500
0.500 0.000 0.000
0.000 0.500 0.000
0.000 0.000 0.000
0.500 0.500 0.500
```

No. 5
Compound: HgSbRh
Source: Alexandria via LeMat-Bulk
Functional: PBE-GGA
Structure: relaxed

Summary:
- Formation energy from raw total energies: -0.093 eV per atom
- Crystal system: cubic
- Volume: 66 Å³ per cell

The structure in POSCAR format:
```
HgSbRh
1.0
-4.433 0.434 0.896
-1.872 4.132 0.258
-2.847 1.411 -3.248
Hg Sb Rh
1 1 1
Direct
0.500 0.500 0.500
0.000 0.000 0.000
0.250 0.250 0.250
```

No. 6
Compound: Cr2SiMo
Source: Alexandria via LeMat-Bulk
Functional: PBE-GGA
Structure: relaxed

Summary:
- Formation energy from raw total energies: 0.123 eV per atom
- Crystal system: tetragonal
- Volume: 52 Å³ per cell

The structure in POSCAR format:
```
Cr2SiMo
1.0
-0.504 2.208 1.394
-0.099 -1.435 2.237
7.199 1.028 0.977
Cr Mo Si
2 1 1
Direct
0.000 0.000 0.971
0.000 0.000 0.529
0.500 0.500 0.250
0.500 0.500 0.750
```

No. 7
Compound: LiSmGa4Au2
Source: Alexandria via LeMat-Bulk
Functional: PBE-GGA
Structure: relaxed

Summary:
- Crystal system: trigonal
- Volume: 148 Å³ per cell
- Energy of formation from the pure elements: -0.4611 eV per atom

The structure in POSCAR format:
```
LiSmGa4Au2
1.0
-2.114 -2.972 -2.521
2.188 -3.512 -1.593
-2.076 -6.690 5.731
Li Sm Ga Au
1 1 4 2
Direct
0.500 0.500 0.500
0.000 0.000 0.000
0.394 0.394 0.818
0.874 0.874 0.379
0.126 0.126 0.621
0.606 0.606 0.182
0.766 0.766 0.702
0.234 0.234 0.298
```

No. 8
Compound: DyY12Th5
Source: Alexandria via LeMat-Bulk
Functional: PBE-GGA
Structure: relaxed

Summary:
- Crystal system: monoclinic
- Volume: 580 Å³ per cell
- Energy of formation from the pure elements: 0.0060 eV per atom

The structure in POSCAR format:
```
DyY12Th5
1.0
-4.070 -0.125 4.706
-5.756 -2.181 -0.922
6.696 -15.859 2.652
Dy Y Th
1 12 5
Direct
0.000 0.000 0.000
0.780 0.000 0.338
0.220 0.000 0.662
0.608 0.000 0.834
0.392 0.000 0.166
0.281 0.664 0.834
0.055 0.664 0.166
0.945 0.336 0.834
0.719 0.336 0.166
0.553 0.334 0.663
0.887 0.666 0.663
0.113 0.334 0.337
0.447 0.666 0.337
0.500 0.000 0.500
0.167 0.667 0.500
0.833 0.333 0.500
0.667 0.667 0.000
0.333 0.333 0.000
```

> What is the volume in the second record?

116 Å³ per cell